1.
## Pd6Pt2Au (GGA-PBE)

Data for Pd6Pt2Au after structural relaxation.

Cell and atoms, written as POSCAR:
```
Pd6Pt2Au
1.0
2.717 -0.003 -0.002
1.348 7.770 1.274
1.348 2.930 7.308
Pt Pd Au
2 6 1
direct
0.153 0.345 0.345
0.847 0.655 0.655
0.501 0.329 0.671
0.327 0.998 0.344
0.671 0.002 0.656
0.327 0.344 0.998
0.501 0.671 0.329
0.671 0.656 0.002
0.000 0.000 0.000
```

## Properties
formation energy: 60 meV per atom
SG: No. 12
E above lowest polymorph: 0 meV per atom
V: 144.2 Å³/cell
DOS(E_F): 15.57 states/eV/cell


2.
## Pd2PtAu5 (GGA-PBE)

Data for Pd2PtAu5 after structural relaxation.

Cell and atoms, written as POSCAR:
```
Pd2PtAu5
1.0
2.756 0.000 0.000
-1.378 8.065 0.000
0.000 0.000 14.201
Au Pt Pd
10 2 4
direct
0.782 0.564 0.916
0.960 0.920 0.590
0.218 0.436 0.416
0.782 0.564 0.584
0.960 0.920 0.910
0.040 0.080 0.090
0.040 0.080 0.410
0.208 0.416 0.750
0.218 0.436 0.084
0.792 0.584 0.250
0.870 0.741 0.750
0.130 0.259 0.250
0.874 0.748 0.082
0.126 0.252 0.918
0.126 0.252 0.582
0.874 0.748 0.418
```

## Properties
formation energy: 251 meV per atom
SG: No. 63
E above lowest polymorph: 147 meV per atom
V: 315.7 Å³/cell
DOS(E_F): 9.91 states/eV/cell


3.
## Pd8Pt4Au (GGA-PBE)

Data for Pd8Pt4Au after structural relaxation.

Cell and atoms, written as POSCAR:
```
Pd8Pt4Au
1.0
-6.310 0.584 6.843
6.139 -4.424 1.667
4.208 4.063 -4.714
Pd Pt Au
8 4 1
direct
0.495 0.248 0.731
0.505 0.752 0.740
0.000 0.245 0.241
0.505 0.752 0.269
0.000 0.245 0.759
0.495 0.248 0.260
0.000 0.755 0.759
0.000 0.755 0.241
0.000 0.500 0.000
0.500 0.500 0.000
0.500 0.000 0.000
0.000 0.000 0.000
0.000 0.500 0.500
```

## Properties
formation energy: 250 meV per atom
SG: No. 10
V: 230.2 Å³/cell
DOS(E_F): 24.79 states/eV/cell


4.
## Pd12Pt3Au (GGA-PBE)

Data for Pd12Pt3Au after structural relaxation.

Cell and atoms, written as POSCAR:
```
Pd12Pt3Au
1.0
3.970 0.000 0.000
0.000 3.970 0.000
0.000 0.000 15.805
Pd Au Pt
12 1 3
direct
0.500 0.500 0.252
0.000 0.500 0.624
0.000 0.500 0.376
0.500 0.500 0.000
0.000 0.500 0.128
0.500 0.000 0.128
0.500 0.000 0.624
0.500 0.000 0.376
0.500 0.000 0.872
0.500 0.500 0.748
0.000 0.500 0.872
0.500 0.500 0.500
0.000 0.000 0.000
0.000 0.000 0.500
0.000 0.000 0.747
0.000 0.000 0.253
```

## Properties
formation energy: -21 meV per atom
SG: No. 123
V: 249.1 Å³/cell
DOS(E_F): 37.80 states/eV/cell


5.
## Pd6Pt3Au (GGA-PBE)

Data for Pd6Pt3Au after structural relaxation.

Cell and atoms, written as POSCAR:
```
Pd6Pt3Au
1.0
-0.109 2.035 -4.302
-3.811 -2.349 1.619
-3.133 7.624 3.685
Pd Pt Au
6 3 1
direct
0.663 0.000 0.240
0.663 0.663 0.760
0.000 0.337 0.760
0.337 0.337 0.240
0.337 0.000 0.760
0.000 0.663 0.240
0.000 0.000 0.500
0.333 0.667 0.500
0.667 0.333 0.500
0.000 0.000 0.000
```

## Properties
formation energy: 167 meV per atom
SG: No. 162
E above lowest polymorph: 0 meV per atom
V: 177.2 Å³/cell
DOS(E_F): 16.97 states/eV/cell


6.
## Pd8PtAu3 (GGA-PBE)

Data for Pd8PtAu3 after structural relaxation.

Cell and atoms, written as POSCAR:
```
Pd8PtAu3
1.0
7.109 1.167 1.856
-1.741 6.990 -1.856
-1.741 -4.699 5.498
Au Pd Pt
3 8 1
direct
0.500 0.250 0.750
0.500 0.750 0.250
0.000 0.500 0.500
0.000 0.087 0.409
0.000 0.591 0.913
0.000 0.409 0.087
0.322 0.913 0.913
0.322 0.409 0.409
0.678 0.591 0.591
0.678 0.087 0.087
0.000 0.913 0.591
0.000 0.000 0.000
```

## Properties
formation energy: 746 meV per atom
SG: No. 139
E above lowest polymorph: 776 meV per atom
V: 264.0 Å³/cell
DOS(E_F): 21.30 states/eV/cell


7.
## Pd8Pt5Au (GGA-PBE)

Data for Pd8Pt5Au after structural relaxation.

Cell and atoms, written as POSCAR:
```
Pd8Pt5Au
1.0
-5.635 0.316 -3.650
4.738 -3.480 -3.259
-1.346 -3.078 5.822
Pd Pt Au
8 5 1
direct
0.225 0.330 0.217
0.194 0.619 0.818
0.624 0.806 0.424
0.113 0.008 0.783
0.992 0.775 0.105
0.381 0.200 0.576
0.800 0.376 0.182
0.670 0.887 0.895
0.740 0.535 0.586
0.948 0.154 0.414
0.846 0.260 0.795
0.500 0.500 0.000
0.465 0.052 0.205
0.250 0.750 0.500
```

## Properties
formation energy: 200 meV per atom
SG: No. 82
E above lowest polymorph: 9 meV per atom
V: 233.7 Å³/cell
DOS(E_F): 23.18 states/eV/cell


8.
## Pd3PtAu3 (GGA-PBE)

Data for Pd3PtAu3 after structural relaxation.

Cell and atoms, written as POSCAR:
```
Pd3PtAu3
1.0
6.799 0.000 0.000
3.399 5.888 0.000
3.399 1.963 6.170
Au Pd Pt
6 6 2
direct
0.565 0.741 0.626
0.068 0.565 0.626
0.259 0.932 0.374
0.932 0.435 0.374
0.435 0.259 0.374
0.741 0.068 0.626
0.715 0.913 0.169
0.285 0.087 0.831
0.913 0.203 0.169
0.087 0.797 0.831
0.203 0.715 0.169
0.797 0.285 0.831
0.667 0.667 0.999
0.333 0.333 0.001
```

## Properties
formation energy: 156 meV per atom
SG: No. 148
E above lowest polymorph: 35 meV per atom
V: 247.0 Å³/cell
DOS(E_F): 15.60 states/eV/cell


What did the second record say?
## Pd2PtAu5 (GGA-PBE)

Data for Pd2PtAu5 after structural relaxation.

Cell and atoms, written as POSCAR:
```
Pd2PtAu5
1.0
2.756 0.000 0.000
-1.378 8.065 0.000
0.000 0.000 14.201
Au Pt Pd
10 2 4
direct
0.782 0.564 0.916
0.960 0.920 0.590
0.218 0.436 0.416
0.782 0.564 0.584
0.960 0.920 0.910
0.040 0.080 0.090
0.040 0.080 0.410
0.208 0.416 0.750
0.218 0.436 0.084
0.792 0.584 0.250
0.870 0.741 0.750
0.130 0.259 0.250
0.874 0.748 0.082
0.126 0.252 0.918
0.126 0.252 0.582
0.874 0.748 0.418
```

## Properties
formation energy: 251 meV per atom
SG: No. 63
E above lowest polymorph: 147 meV per atom
V: 315.7 Å³/cell
DOS(E_F): 9.91 states/eV/cell


The lowest DOS(E_F) belongs to which entry?
Pd2PtAu5


Copy entry 2 word for word.
## Pd2PtAu5 (GGA-PBE)

Data for Pd2PtAu5 after structural relaxation.

Cell and atoms, written as POSCAR:
```
Pd2PtAu5
1.0
2.756 0.000 0.000
-1.378 8.065 0.000
0.000 0.000 14.201
Au Pt Pd
10 2 4
direct
0.782 0.564 0.916
0.960 0.920 0.590
0.218 0.436 0.416
0.782 0.564 0.584
0.960 0.920 0.910
0.040 0.080 0.090
0.040 0.080 0.410
0.208 0.416 0.750
0.218 0.436 0.084
0.792 0.584 0.250
0.870 0.741 0.750
0.130 0.259 0.250
0.874 0.748 0.082
0.126 0.252 0.918
0.126 0.252 0.582
0.874 0.748 0.418
```

## Properties
formation energy: 251 meV per atom
SG: No. 63
E above lowest polymorph: 147 meV per atom
V: 315.7 Å³/cell
DOS(E_F): 9.91 states/eV/cell


Please write out number 5 again, unchanged.
## Pd6Pt3Au (GGA-PBE)

Data for Pd6Pt3Au after structural relaxation.

Cell and atoms, written as POSCAR:
```
Pd6Pt3Au
1.0
-0.109 2.035 -4.302
-3.811 -2.349 1.619
-3.133 7.624 3.685
Pd Pt Au
6 3 1
direct
0.663 0.000 0.240
0.663 0.663 0.760
0.000 0.337 0.760
0.337 0.337 0.240
0.337 0.000 0.760
0.000 0.663 0.240
0.000 0.000 0.500
0.333 0.667 0.500
0.667 0.333 0.500
0.000 0.000 0.000
```

## Properties
formation energy: 167 meV per atom
SG: No. 162
E above lowest polymorph: 0 meV per atom
V: 177.2 Å³/cell
DOS(E_F): 16.97 states/eV/cell